DFT (GGA+U) results for crystalline PWN2F at its relaxed geometry.

Unit cell a=3.803 b=3.803 c=3.670 alpha=90.00 beta=90.00 gamma=90.00
Fractional positions:
P 0.000 0.000 0.000
W 0.500 0.500 0.500
N 0.000 0.500 0.000
N 0.500 0.000 0.000
F 0.000 0.000 0.500

Calculated values
ρ ... 8.19 g cm⁻³
Crystal system ... tetragonal
Symmetry ... P4/mmm
Size of the total moment ... 3.02 μB/cell
Calculated total energy ... -5.68 eV/atom